Density functional theory data (GGA-PBE) for a geometry-optimized CaNbCu structure.

```
CaNbCu
1.0
4.478 0.000 0.000
0.000 11.381 0.000
0.000 0.000 5.164
Ca Nb Cu
4 4 4
Direct
0.000 0.209 0.250
0.000 0.791 0.750
0.500 0.291 0.750
0.500 0.709 0.250
0.000 0.500 0.000
0.000 0.500 0.500
0.500 0.000 0.000
0.500 0.000 0.500
0.000 0.068 0.750
0.000 0.932 0.250
0.500 0.432 0.250
0.500 0.568 0.750
```

The density of states at the Fermi level is 11.033 states/eV/cell. As for the relative energy among the computed polymorphs: 0.039 eV/atom. Its space group is Cmcm, No. 63. For the spin magnetization, the calculation gives 0.000 Bohr magnetons per cell. Its formation energy is 0.1917 eV/atom. The calculation puts the volume at 263.2 Å³ per cell.

***

Density functional theory data (GGA-PBE) for a geometry-optimized TbPdCl6 structure.

```
TbPdCl6
1.0
6.298 0.000 0.000
2.895 5.646 0.000
0.033 3.532 5.817
Tb Pd Cl
1 1 6
Direct
0.000 0.000 0.000
0.500 0.000 0.500
0.098 0.489 0.252
0.275 0.828 0.740
0.424 0.847 0.265
0.576 0.153 0.735
0.725 0.172 0.260
0.902 0.511 0.748
```

The density of states at the Fermi level is 0.967 states/eV/cell. Its space group is P-1, No. 2. For the spin magnetization, the calculation gives 1.005 Bohr magnetons per cell. Its energy relative to the elements, uncorrected is -1.22 eV/atom. The calculation puts the volume at 206.9 Å³ per cell.

***

Density functional theory data (GGA-PBE) for a geometry-optimized TaBe2Cd structure.

```
TaBe2Cd
1.0
3.795 0.000 0.000
0.000 3.016 0.000
0.000 0.000 9.633
Ta Be Cd
2 4 2
Direct
0.000 0.000 0.000
0.000 0.500 0.500
0.000 0.000 0.720
0.000 0.500 0.220
0.500 0.000 0.585
0.500 0.500 0.085
0.500 0.000 0.308
0.500 0.500 0.808
```

The density of states at the Fermi level is 3.847 states/eV/cell. Its space group is Amm2, No. 38. For the spin magnetization, the calculation gives 0.000 Bohr magnetons per cell. Its formation energy is 0.2382 eV/atom. The calculation puts the volume at 110.3 Å³ per cell.

***

Density functional theory data (GGA-PBE) for a geometry-optimized Tc2Os structure.

```
Tc2Os
1.0
6.127 0.000 0.000
0.000 6.127 0.000
0.000 0.000 4.929
Tc Os
8 4
Direct
0.139 0.361 0.000
0.139 0.639 0.500
0.361 0.139 0.500
0.361 0.861 0.000
0.639 0.139 0.000
0.639 0.861 0.500
0.861 0.361 0.500
0.861 0.639 0.000
0.000 0.000 0.250
0.000 0.000 0.750
0.500 0.500 0.250
0.500 0.500 0.750
```

The density of states at the Fermi level is 8.110 states/eV/cell. As for the relative energy among the computed polymorphs: 0.221 eV/atom. Its space group is I4/mcm, No. 140. For the spin magnetization, the calculation gives 0.000 Bohr magnetons per cell. Its formation energy is 0.1564 eV/atom. The calculation puts the volume at 185.0 Å³ per cell.

***

Density functional theory data (GGA-PBE) for a geometry-optimized Na4MgGe2Se6 structure.

```
Na4MgGe2Se6
1.0
3.909 -6.049 0.000
3.909 6.049 0.000
-2.069 0.000 6.878
Na Mg Ge Se
4 1 2 6
Direct
0.000 0.000 0.000
0.171 0.829 0.500
0.541 0.459 0.500
0.846 0.154 0.500
0.363 0.637 0.000
0.522 0.151 0.944
0.849 0.478 0.056
0.120 0.433 0.250
0.283 0.253 0.765
0.426 0.030 0.221
0.567 0.880 0.750
0.747 0.717 0.235
0.970 0.574 0.779
```

The density of states at the Fermi level is 0.000 states/eV/cell. Its space group is C2, No. 5. For the spin magnetization, the calculation gives 0.000 Bohr magnetons per cell. Its energy relative to the elements, uncorrected is -0.89 eV/atom. The calculation puts the volume at 325.3 Å³ per cell.

***

Density functional theory data (GGA-PBE) for a geometry-optimized TlAs2Cl structure.

```
TlAs2Cl
1.0
3.693 0.000 0.000
0.000 8.192 0.000
-0.010 0.000 4.818
Tl As Cl
1 2 1
Direct
0.000 0.000 0.000
0.246 0.500 0.341
0.754 0.500 0.659
0.500 0.000 0.500
```

The density of states at the Fermi level is 1.683 states/eV/cell. As for the relative energy among the computed polymorphs: 0.189 eV/atom. Its space group is P2/m, No. 10. For the spin magnetization, the calculation gives 0.000 Bohr magnetons per cell. Its energy relative to the elements, uncorrected is -0.18 eV/atom. The calculation puts the volume at 145.8 Å³ per cell.

***

Density functional theory data (GGA-PBE) for a geometry-optimized Cr2TcPt structure.

```
Cr2TcPt
1.0
8.904 0.000 0.000
0.000 2.659 0.000
-0.822 0.000 4.556
Cr Tc Pt
4 2 2
Direct
0.000 0.000 0.000
0.241 0.500 0.247
0.500 0.500 0.000
0.741 0.000 0.247
0.245 0.000 0.767
0.745 0.500 0.767
0.491 0.000 0.488
0.991 0.500 0.488
```

The density of states at the Fermi level is 9.128 states/eV/cell. Its space group is Cm, No. 8. For the spin magnetization, the calculation gives 0.182 Bohr magnetons per cell. Its formation energy is 0.0356 eV/atom. The calculation puts the volume at 107.9 Å³ per cell.

***

Density functional theory data (GGA-PBE) for a geometry-optimized LaTbDy2Se6 structure.

```
LaTbDy2Se6
1.0
3.666 2.116 6.505
-3.666 2.116 6.505
0.000 -4.233 6.505
La Tb Dy Se
1 1 2 6
Direct
0.000 0.000 0.000
0.493 0.493 0.493
0.294 0.294 0.294
0.798 0.798 0.798
0.084 0.674 0.420
0.197 0.583 0.898
0.420 0.084 0.674
0.583 0.898 0.197
0.674 0.420 0.084
0.898 0.197 0.583
```

The density of states at the Fermi level is 0.000 states/eV/cell. Its space group is R3, No. 146. For the spin magnetization, the calculation gives 0.000 Bohr magnetons per cell. Its energy relative to the elements, uncorrected is -1.88 eV/atom. The calculation puts the volume at 302.8 Å³ per cell.

***

- What is the formula in the sixth record?
  TlAs2Cl

***

- Number 1 is which compound?
  CaNbCu

***

What did the second record say?
Density functional theory data (GGA-PBE) for a geometry-optimized TbPdCl6 structure.

```
TbPdCl6
1.0
6.298 0.000 0.000
2.895 5.646 0.000
0.033 3.532 5.817
Tb Pd Cl
1 1 6
Direct
0.000 0.000 0.000
0.500 0.000 0.500
0.098 0.489 0.252
0.275 0.828 0.740
0.424 0.847 0.265
0.576 0.153 0.735
0.725 0.172 0.260
0.902 0.511 0.748
```

The density of states at the Fermi level is 0.967 states/eV/cell. Its space group is P-1, No. 2. For the spin magnetization, the calculation gives 1.005 Bohr magnetons per cell. Its energy relative to the elements, uncorrected is -1.22 eV/atom. The calculation puts the volume at 206.9 Å³ per cell.

***

- Among the records above, which one has the highest spin magnetization?
  TbPdCl6